Computed, not measured: Sm2ZnS4 after structural relaxation at the GGA-PBE level of DFT.

crystal system	tetragonal
ΔE_f (raw)	-1.633	eV/atom
calculated total energy	-5.521	eV/atom

Cell: 7.809 7.809 7.809 Å, 106.76 106.76 115.04°
Positions (direct):
1 Sm 0.115 0.125 0.490
2 Sm 0.375 0.885 0.010
3 Sm 0.635 0.625 0.510
4 Sm 0.875 0.365 0.990
5 Zn 0.250 0.750 0.500
6 Zn 0.500 0.500 0.000
7 S 0.080 0.855 0.678
8 S 0.145 0.824 0.225
9 S 0.152 0.426 0.822
10 S 0.176 0.402 0.322
11 S 0.574 0.395 0.725
12 S 0.598 0.920 0.775
13 S 0.605 0.330 0.178
14 S 0.670 0.848 0.275